# PBE Ca2LaCd, relaxed
data_Ca2LaCd
_cell_length_a 3.970
_cell_length_b 5.836
_cell_length_c 11.997
_cell_angle_alpha 90.00
_cell_angle_beta 90.00
_cell_angle_gamma 90.00
_symmetry_space_group_name_H-M 'I m m m'
_symmetry_Int_Tables_number 71
_symmetry_space_group_name_Hall '-I 2 2'
loop_
_atom_site_label
_atom_site_fract_x
_atom_site_fract_y
_atom_site_fract_z
Ca1 0.000 0.000 0.214
La1 0.000 0.500 0.000
Cd1 0.000 0.500 0.500
# crystal system: orthorhombic
# energy relative to the elements: -10.3 kJ/mol of atoms
# E_tot: -2.569 eV/atom
# total moment: 0.02 μB per cell